# Be2SiOs

A relaxed Be2SiOs crystal (PBE-GGA, Alexandria).

a b c (Å): 2.6708 2.6708 7.5873
angles (deg): 90.00 90.00 116.74
Closest atoms and distances in Å follow each position.
Fractional positions:
Be: 0.0000 0.0000 0.2407  2 Os 2.30, 2 Si 2.42
Be: 0.0000 0.0000 0.7593  2 Os 2.30, 2 Si 2.42
Si: 0.5000 0.5000 0.5000  4 Be 2.42, 4 Si 2.67
Os: 0.5000 0.5000 0.0000  4 Be 2.30

- formation energy (no corrections) (meV/atom) = 289
- space-group type = Cmmm, No. 65
- Fermi-level density of states (states/eV/atom) = 0.45
- mass density (g/cm³) = 8.1